--- w ---
TcWCl | PBEsol | optimized geometry

a b c (Å): 2.872 4.042 7.628
angles (deg): 90.00 90.00 90.00
Space group Imm2 (No. 44)
Asymmetric unit:
Tc: 0.000 0.000 0.000
W: 0.000 0.000 0.339
Cl: 0.000 0.000 0.663

Values from the calculation:
* calculated volume: 14.8 A^3/atom

***

--- x ---
TcWCl | PBEsol | optimized geometry

a b c (Å): 4.1429 4.1429 2.9003
angles (deg): 90.00 90.00 120.00
Space group P3m1 (No. 156)
Asymmetric unit:
Tc: 0.0000 0.0000 0.0000
W: 0.6667 0.3333 0.5300
Cl: 0.3333 0.6667 0.7115

Values from the calculation:
* calculated volume: 14.4 A^3/atom

***

Most stable: x

***

--- w ---
Y2TcCl | PBEsol | optimized geometry

a b c (Å): 7.484 7.295 3.220
angles (deg): 90.00 106.63 90.00
Space group C2/m (No. 12)
Asymmetric unit:
Y: 0.250 0.250 0.000
Tc: 0.000 0.000 0.500
Cl: 0.000 0.500 0.500

Values from the calculation:
* calculated volume: 21.1 A^3/atom

***

--- x ---
Y2TcCl | PBEsol | optimized geometry

a b c (Å): 3.417 4.529 5.506
angles (deg): 90.00 90.00 90.00
Space group Pmmm (No. 47)
Asymmetric unit:
Y: 0.000 0.000 0.000
Y: 0.500 0.500 0.500
Tc: 0.000 0.000 0.500
Cl: 0.500 0.500 0.000

Values from the calculation:
* calculated volume: 21.3 A^3/atom

***

--- y ---
Y2TcCl | PBEsol | optimized geometry

a b c (Å): 3.448 3.379 7.858
angles (deg): 90.00 90.96 90.00
Space group P2/m (No. 10)
Asymmetric unit:
Y: 0.021 0.000 0.293
Tc: 0.500 0.500 0.500
Cl: 0.000 0.500 0.000

Values from the calculation:
* calculated volume: 22.9 A^3/atom

***

Most stable: y

***

--- w ---
YTc2Cl | PBEsol | optimized geometry

a b c (Å): 3.065 3.084 14.981
angles (deg): 90.00 90.00 90.00
Space group Amm2 (No. 38)
Asymmetric unit:
Y: 0.000 0.000 0.000
Tc: 0.000 0.000 0.226
Tc: 0.500 0.000 0.639
Cl: 0.500 0.000 0.375

Values from the calculation:
* calculated volume: 17.7 A^3/atom

***

--- x ---
YTc2Cl | PBEsol | optimized geometry

a b c (Å): 3.099 5.314 4.270
angles (deg): 90.00 91.08 90.00
Space group P2/m (No. 10)
Asymmetric unit:
Y: 0.000 0.000 0.000
Tc: 0.317 0.500 0.247
Cl: 0.500 0.000 0.500

Values from the calculation:
* calculated volume: 17.6 A^3/atom

***

--- y ---
YTc2Cl | PBEsol | optimized geometry

a b c (Å): 3.569 3.569 5.650
angles (deg): 90.00 90.00 90.00
Space group P4/mmm (No. 123)
Asymmetric unit:
Y: 0.000 0.000 0.000
Tc: 0.000 0.500 0.500
Cl: 0.500 0.500 0.000

Values from the calculation:
* calculated volume: 18.0 A^3/atom

***

Most stable: w